Density functional theory data (GGA+U) for Li2NpVO6 after structural relaxation.

electronic total energy: -7.73 eV/atom
magnetization: 0.20 μB/atom
SG: P2_1/c (14)
crystal system: monoclinic

Unit cell a=5.3332 b=5.4113 c=7.6884 alpha=90.00 beta=89.45 gamma=90.00
Closest atoms and distances in Å follow each position.
Atoms (fractional coordinates):
O1 0.6602 0.7051 0.4425  1 V 1.86, 1 Li 2.06
O2 0.3171 0.3125 0.9370  1 Np 2.01, 1 V 2.03, 1 Li 2.07
O3 0.3398 0.2949 0.5575  1 V 1.86, 1 Li 2.06
O4 0.6148 0.9527 0.7482  1 V 2.03, 1 Np 2.04, 1 Li 2.05
O5 0.8398 0.2051 0.0575  1 V 1.86, 1 Li 2.06
O6 0.6829 0.6875 0.0630  1 Np 2.01, 1 V 2.03, 1 Li 2.07
O7 0.3852 0.0473 0.2518  1 V 2.03, 1 Np 2.04, 1 Li 2.05
O8 0.1602 0.7949 0.9425  1 V 1.86, 1 Li 2.06
O9 0.1829 0.8125 0.5630  1 Np 2.01, 1 V 2.03, 1 Li 2.07
O10 0.8852 0.4527 0.7518  1 V 2.03, 1 Np 2.04, 1 Li 2.05
O11 0.1148 0.5473 0.2482  1 V 2.03, 1 Np 2.04, 1 Li 2.05
O12 0.8171 0.1875 0.4370  1 Np 2.01, 1 V 2.03, 1 Li 2.07
Li1 0.4953 0.4890 0.2543  3 O 2.05-2.07
Li2 0.9953 0.0110 0.7543  3 O 2.05-2.07
Li3 0.5047 0.5110 0.7457  3 O 2.05-2.07
Li4 0.0047 0.9890 0.2457  3 O 2.05-2.07
Np1 0.0000 0.5000 0.5000  6 O 2.01-2.17
Np2 0.5000 0.0000 0.0000  6 O 2.01-2.17
V1 0.5000 0.0000 0.5000  6 O 1.86-2.03
V2 0.0000 0.5000 0.0000  6 O 1.86-2.03